Material: CePaTcNi
Method: DFT, PBE
State: optimized geometry

Calculated values
* DOS at the Fermi energy: 1.7585 states/eV/atom
* final energy: -8.02 eV/atom
* energy of formation: -0.12 eV per atom

abc: 4.8235 4.8235 4.8235
angles: 60.00 60.00 60.00
Closest atoms and distances in Å follow each position.
Element x y z (fractional)
Ni (0.7500, 0.7500, 0.7500)  4 Ce 2.95, 4 Pa 2.95
Pa (0.0000, 0.0000, 0.0000)  4 Ni 2.95, 4 Tc 2.95
Tc (0.2500, 0.2500, 0.2500)  4 Pa 2.95, 4 Ce 2.95
Ce (0.5000, 0.5000, 0.5000)  4 Tc 2.95, 4 Ni 2.95